[1]
First-principles (PBE-GGA) data for a relaxed structure of SbSe, as listed in Alexandria via LeMat-Bulk.

a b c (Å): 8.801 8.801 5.831
angles (deg): 90.00 90.00 90.00
Fractional coordinates of all 16 atoms:
Sb: 0.266 0.929 0.000
Sb: 0.734 0.071 0.000
Sb: 0.071 0.266 0.000
Sb: 0.929 0.734 0.000
Sb: 0.766 0.429 0.500
Sb: 0.234 0.571 0.500
Sb: 0.571 0.766 0.500
Sb: 0.429 0.234 0.500
Se: 0.420 0.206 0.000
Se: 0.580 0.794 0.000
Se: 0.794 0.420 0.000
Se: 0.206 0.580 0.000
Se: 0.920 0.706 0.500
Se: 0.080 0.294 0.500
Se: 0.294 0.920 0.500
Se: 0.706 0.080 0.500

Space-group type   I4/m (87)
E   -3.87 eV/atom
Volume   452 Å³ per cell
Spin magnetization   0.00 μB per atom



[2]
First-principles (PBE-GGA) data for a relaxed structure of Nd2As3Rh6, as listed in Alexandria via LeMat-Bulk.

a b c (Å): 4.349 7.265 7.265
angles (deg): 120.00 90.00 90.00
Fractional coordinates of all 11 atoms:
Nd: 0.000 0.667 0.333
Nd: 0.000 0.333 0.667
As: 0.500 0.384 0.384
As: 0.500 0.616 0.000
As: 0.500 0.000 0.616
Rh: 0.500 0.725 0.725
Rh: 0.500 0.000 0.275
Rh: 0.000 0.216 0.216
Rh: 0.000 0.784 0.000
Rh: 0.500 0.275 0.000
Rh: 0.000 0.000 0.784

Energy of formation   -723.7 meV per atom
Space-group type   P-62m (189)
Volume   199 Å³ per cell
Spin magnetization   0.00 μB per atom



[3]
First-principles (PBE-GGA) data for a relaxed structure of AcThCo, as listed in Alexandria via LeMat-Bulk.

a b c (Å): 4.005 4.005 6.612
angles (deg): 90.00 90.00 120.00
Fractional coordinates of all 3 atoms:
Ac: 0.000 0.000 0.082
Co: 0.667 0.333 0.357
Th: 0.333 0.667 0.561

Energy of formation   -69.0 meV per atom
Space-group type   P3m1 (156)
Volume   92 Å³ per cell
Distance to the lowest polymorph of the same formula   0.083 eV/atom
Spin magnetization   0.00 μB per atom



[4]
First-principles (PBE-GGA) data for a relaxed structure of TbSmYTm3, as listed in Alexandria via LeMat-Bulk.

a b c (Å): 5.002 7.914 10.004
angles (deg): 90.00 90.00 108.42
Fractional coordinates of all 12 atoms:
Tb: 0.000 0.000 0.500
Tb: 0.000 0.000 0.000
Sm: 0.501 0.002 0.750
Sm: 0.499 0.998 0.250
Y: 0.832 0.664 0.750
Y: 0.168 0.336 0.250
Tm: 0.667 0.335 0.500
Tm: 0.333 0.665 0.500
Tm: 0.333 0.665 0.000
Tm: 0.667 0.335 0.000
Tm: 0.167 0.334 0.750
Tm: 0.833 0.666 0.250

Energy of formation   24.4 meV per atom
Space-group type   Cmcm (63)
Volume   376 Å³ per cell
Spin magnetization   0.00 μB per atom



[5]
First-principles (PBE-GGA) data for a relaxed structure of Ac2ZnGaIr2, as listed in Alexandria via LeMat-Bulk.

a b c (Å): 6.058 6.080 8.702
angles (deg): 110.45 110.37 90.00
Fractional coordinates of all 12 atoms:
Ac: 0.408 0.165 0.330
Ac: 0.592 0.835 0.670
Ac: 0.078 0.335 0.670
Ac: 0.922 0.665 0.330
Zn: 0.000 0.750 0.000
Zn: 0.000 0.250 0.000
Ga: 0.500 0.750 0.000
Ga: 0.500 0.250 0.000
Ir: 0.848 0.107 0.214
Ir: 0.367 0.607 0.214
Ir: 0.633 0.393 0.786
Ir: 0.152 0.893 0.786

Energy of formation   -566.9 meV per atom
Space-group type   Ibam (72)
Volume   279 Å³ per cell
Spin magnetization   0.00 μB per atom



[6]
First-principles (PBE-GGA) data for a relaxed structure of LiTmSi2O6, as listed in Alexandria via LeMat-Bulk.

a b c (Å): 5.500 6.907 6.907
angles (deg): 86.05 74.75 74.75
Fractional coordinates of all 20 atoms:
Li: 0.250 0.242 0.758
Li: 0.750 0.758 0.242
Tm: 0.250 0.886 0.114
Tm: 0.750 0.114 0.886
Si: 0.293 0.783 0.617
Si: 0.207 0.383 0.217
Si: 0.707 0.217 0.383
Si: 0.793 0.617 0.783
O: 0.171 0.959 0.793
O: 0.329 0.207 0.041
O: 0.829 0.041 0.207
O: 0.671 0.793 0.959
O: 0.367 0.861 0.388
O: 0.133 0.612 0.139
O: 0.633 0.139 0.612
O: 0.867 0.388 0.861
O: 0.064 0.662 0.639
O: 0.436 0.361 0.338
O: 0.936 0.338 0.361
O: 0.564 0.639 0.662

Space-group type   C2/c (15)
E   -7.65 eV/atom
Volume   244 Å³ per cell
Spin magnetization   0.00 μB per atom



[7]
First-principles (PBE-GGA) data for a relaxed structure of LaNdTlSn, as listed in Alexandria via LeMat-Bulk.

a b c (Å): 4.121 4.121 7.127
angles (deg): 90.00 90.00 90.00
Site moments in Bohr magnetons follow the coordinates.
Fractional coordinates of all 4 atoms:
La: 0.500 0.500 0.095  0.11
Nd: 0.500 0.500 0.618  0.11
Tl: 0.000 0.000 0.367  0.00
Sn: 0.000 0.000 0.847  0.02

Energy of formation   -544.6 meV per atom
Space-group type   P4mm (99)
Volume   121 Å³ per cell
Distance to the lowest polymorph of the same formula   0.000 eV/atom
Spin magnetization   0.11 μB per atom



[8]
First-principles (PBE-GGA) data for a relaxed structure of SnTeSe2, as listed in Alexandria via LeMat-Bulk.

a b c (Å): 5.490 5.490 9.411
angles (deg): 73.04 73.04 90.00
Fractional coordinates of all 8 atoms:
Te: 0.000 0.000 0.000
Te: 0.750 0.250 0.500
Sn: 0.500 0.500 0.000
Sn: 0.250 0.750 0.500
Se: 0.636 0.125 0.250
Se: 0.114 0.625 0.250
Se: 0.375 0.364 0.750
Se: 0.875 0.886 0.750

Space-group type   I-42d (122)
Volume   258 Å³ per cell
Distance to the lowest polymorph of the same formula   0.119 eV/atom
Spin magnetization   0.00 μB per atom



[9]
First-principles (PBE-GGA) data for a relaxed structure of Zr2Sn, as listed in Alexandria via LeMat-Bulk.

a b c (Å): 5.620 5.620 4.992
angles (deg): 90.00 90.00 120.00
Fractional coordinates of all 6 atoms:
Zr: 0.649 0.649 0.500
Zr: 0.000 0.000 0.000
Zr: 0.000 0.351 0.500
Zr: 0.351 0.000 0.500
Sn: 0.667 0.333 0.000
Sn: 0.333 0.667 0.000

Energy of formation   -323.3 meV per atom
Space-group type   P-62m (189)
Volume   137 Å³ per cell
Spin magnetization   0.00 μB per atom